# 1
This record from Alexandria describes a relaxed structure of CaPm5Mg6. The functional is GGA-PBE.

a b c (Å): 5.4819 7.7655 8.6674
angles (deg): 90.00 71.56 90.00
With the nearest neighbours (Å) after each atom.
Sites, in units of the cell vectors:
Pm1 0.3329 0.0000 0.3341  8 Mg 3.36-3.38
Pm2 0.6671 0.0000 0.6659  8 Mg 3.36-3.38
Pm3 0.0000 0.5000 0.0000  8 Mg 3.35-3.36
Pm4 0.3330 0.5000 0.3340  8 Mg 3.33-3.35
Pm5 0.6670 0.5000 0.6660  8 Mg 3.33-3.35
Mg1 0.5000 0.7471 0.0000  6 Pm 3.35-3.38, 2 Ca 3.37
Mg2 0.1674 0.7471 0.6652  7 Pm 3.33-3.37, 1 Ca 3.38
Mg3 0.1674 0.2529 0.6652  7 Pm 3.33-3.37, 1 Ca 3.38
Mg4 0.8326 0.7471 0.3348  7 Pm 3.33-3.37, 1 Ca 3.38
Mg5 0.5000 0.2529 0.0000  6 Pm 3.35-3.38, 2 Ca 3.37
Mg6 0.8326 0.2529 0.3348  7 Pm 3.33-3.37, 1 Ca 3.38
Ca1 0.0000 0.0000 0.0000  8 Mg 3.37-3.38

Computed properties:
The space group is No. 65. For the calculated total energy, the calculation gives -3.040 eV/atom. Its density of states at the Fermi level is 13.97 states/eV per cell.



# 2
This record from Alexandria describes a relaxed structure of Fe2OsPd. The functional is GGA-PBE.

a b c (Å): 2.6760 2.6760 7.4010
angles (deg): 90.00 90.00 90.00
With the nearest neighbours (Å) after each atom.
Sites, in units of the cell vectors:
Fe1 0.0000 0.0000 0.2416  4 Os 2.60, 4 Fe 2.68, 4 Pd 2.69
Fe2 0.0000 0.0000 0.7584  4 Os 2.60, 4 Fe 2.68, 4 Pd 2.69
Os1 0.5000 0.5000 0.0000  8 Fe 2.60, 4 Os 2.68
Pd1 0.5000 0.5000 0.5000  4 Pd 2.68, 8 Fe 2.69

Computed properties:
The value obtained for the energy above the most stable polymorph in this dataset is 0.0 meV/atom. The space group is No. 123. For the calculated total energy, the calculation gives -8.235 eV/atom. Its density of states at the Fermi level is 4.29 states/eV per cell.



# 3
This record from Alexandria describes a relaxed structure of NbGe2BiPb. The functional is GGA-PBE.

a b c (Å): 5.4922 5.4283 5.4922
angles (deg): 90.00 90.00 90.00
With the nearest neighbours (Å) after each atom.
Sites, in units of the cell vectors:
Nb1 0.0000 0.5000 0.0000  2 Bi 2.71
Bi1 0.0000 0.0000 0.0000  2 Nb 2.71, 4 Ge 2.75
Ge1 0.5000 0.0000 0.0000  2 Bi 2.75
Ge2 0.0000 0.0000 0.5000  2 Bi 2.75
Pb1 0.5000 0.5000 0.5000  8 Ge 3.86, 4 Nb 3.88

Computed properties:
The space group is No. 123. For the calculated total energy, the calculation gives -4.123 eV/atom. Its density of states at the Fermi level is 4.09 states/eV per cell.



# 4
This record from Alexandria describes a relaxed structure of SiAuN2. The functional is GGA-PBE.

a b c (Å): 4.8195 4.8195 5.3431
angles (deg): 63.19 63.19 90.00
With the nearest neighbours (Å) after each atom.
Sites, in units of the cell vectors:
N1 0.3750 0.4696 0.7500  2 Si 1.75
N2 0.2196 0.6250 0.2500  2 Si 1.75
N3 0.5304 0.1250 0.2500  2 Si 1.75
N4 0.8750 0.7804 0.7500  2 Si 1.75
Au1 0.0000 0.0000 0.0000  4 N 2.30
Au2 0.7500 0.2500 0.5000  4 N 2.30
Si1 0.2500 0.7500 0.5000  4 N 1.75
Si2 0.5000 0.5000 0.0000  4 N 1.75

Computed properties:
The space group is No. 122. The value obtained for the formation energy (no corrections) is 0.044 eV per atom. For the calculated total energy, the calculation gives -6.294 eV/atom. Its density of states at the Fermi level is 3.14 states/eV per cell.